Record 1
A relaxed InHRh3 crystal. Source: Alexandria via LeMat-Bulk, functional PBE.

Cell and atoms, written as extended XYZ:
```
10
Lattice="17.383 0.000 -5.971 7.264 1.946 -4.414 -7.264 1.946 4.414" Properties=species:S:1:pos:R:3 pbc="T T T"
H 21.909 1.946 -9.092
H -4.526 1.946 3.121
Rh 5.751 1.946 -1.471
Rh 11.632 1.946 -4.500
Rh 14.411 1.946 -4.423
Rh 8.700 1.946 -4.423
Rh 8.682 1.946 -1.548
Rh 2.971 1.946 -1.548
In -0.108 1.946 1.536
In 17.490 1.946 -7.508
```

Properties
**Total energy**: -5.78 eV per atom
**Offset from the most stable computed form**: 0.054 eV per atom
**Magnetic moment**: 0.0 μB per formula unit
**Space-group type**: C2/m (12)
**Crystal system**: monoclinic


Record 2
A relaxed Cs3KOs2O8 crystal. Source: Alexandria via LeMat-Bulk, functional PBE.

Cell and atoms, written as extended XYZ:
```
14
Lattice="6.593 0.000 0.000 -3.296 5.710 0.000 0.000 0.000 8.558" Properties=species:S:1:pos:R:3 pbc="T T T"
Cs 0.000 3.806 5.690
Cs 3.296 1.903 2.867
Cs 0.000 0.000 0.000
K 0.000 0.000 4.279
O -1.458 4.648 2.551
O 3.296 1.903 8.505
O 0.000 2.123 2.551
O 3.296 3.587 6.006
O 1.838 1.061 6.006
O 0.000 3.806 0.053
O 1.458 4.648 2.551
O 4.754 1.061 6.006
Os 3.296 1.903 6.716
Os 0.000 3.806 1.842
```

Properties
**Total energy**: -6.08 eV per atom
**Magnetic moment**: 4.0 μB per formula unit
**Space-group type**: P-3m1 (164)
**Crystal system**: trigonal
**Energy relative to the elements, uncorrected**: -1379 meV/atom


Record 3
A relaxed AlFe2Hg crystal. Source: Alexandria via LeMat-Bulk, functional PBE.

Cell and atoms, written as extended XYZ:
```
4
Lattice="-6.851 5.472 -1.518 -7.874 3.136 -2.711 -8.163 3.543 0.060" Properties=species:S:1:pos:R:3 pbc="T T T"
Fe -0.149 0.079 -0.027
Fe -11.296 5.997 -2.058
Hg -5.722 3.038 -1.042
Al -17.166 9.113 -3.127
```

Properties
**Total energy**: -5.00 eV per atom
**Magnetic moment**: 4.4 μB per formula unit
**Space-group type**: R-3m (166)
**Crystal system**: trigonal
**DFT formation energy**: 0.24 eV per atom